First-principles (GGA+U) data for an optimized crystal structure of Ca2Tl2WO6, as listed in Alexandria via LeMat-Bulk.

## Properties
The density of states at the Fermi level comes out at 0.000 states/eV per cell. As for the crystal system: monoclinic. Its space group is No. 12. Its electronic total energy is -6.22 eV/atom.

a = 5.8224 Å, b = 5.8224 Å, c = 6.7371 Å
α = 97.90°, β = 97.90°, γ = 119.19°
Fractional positions:
Tl1 0.1679 0.8321 0.0000
W1 0.0000 0.0000 0.5000
O1 0.2217 0.2217 0.3241
O2 0.3359 0.0511 0.6632
Ca1 0.6650 0.3350 0.5000
Tl2 0.8321 0.1679 0.0000
O3 0.7783 0.7783 0.6759
O4 0.6641 0.9489 0.3368
Ca2 0.3350 0.6650 0.5000
O5 0.9489 0.6641 0.3368
O6 0.0511 0.3359 0.6632